No. 1
A plane-wave DFT calculation with PBE was carried out for a geometry-optimized Hf2Pd3 structure.

For the density, the calculation gives 12.67 g cm⁻³. The uncorrected energy is -7.79 eV per atom. The formation energy comes out at -0.697 eV per atom.

abc: 4.940 4.940 6.954
angles: 126.12 126.12 42.36
Element x y z (fractional)
Hf: 0.203 0.203 0.277
Hf: 0.797 0.797 0.723
Pd: 0.000 0.000 0.500
Pd: 0.413 0.413 0.111
Pd: 0.587 0.587 0.889

***

No. 2
A plane-wave DFT calculation with PBE was carried out for a geometry-optimized NaMnBiOs structure.

For the density, the calculation gives 8.31 g cm⁻³. The uncorrected energy is -5.90 eV per atom. The relative energy among the computed polymorphs comes out at 33 kJ/mol of formula units. The formation energy comes out at 0.500 eV per atom.

abc: 7.483 7.483 7.483
angles: 30.45 30.45 30.45
Element x y z (fractional)
Na: 0.000 0.000 0.000
Mn: 0.867 0.867 0.867
Bi: 0.461 0.461 0.461
Os: 0.222 0.222 0.222

***

No. 3
A plane-wave DFT calculation with PBE was carried out for a geometry-optimized Na2CuBr4 structure.

For the density, the calculation gives 3.31 g cm⁻³. The uncorrected energy is -2.89 eV per atom. The calculation puts the raw formation energy at -975 meV per atom. The relative energy among the computed polymorphs comes out at 0 kJ/mol of formula units.

abc: 8.089 8.089 8.461
angles: 105.87 105.87 115.28
Element x y z (fractional)
Na: 0.078 0.922 0.750
Na: 0.329 0.671 0.250
Na: 0.671 0.329 0.750
Na: 0.922 0.078 0.250
Cu: 0.374 0.626 0.750
Cu: 0.626 0.374 0.250
Br: 0.133 0.620 0.868
Br: 0.251 0.267 0.633
Br: 0.267 0.251 0.133
Br: 0.380 0.867 0.632
Br: 0.620 0.133 0.368
Br: 0.733 0.749 0.867
Br: 0.749 0.733 0.367
Br: 0.867 0.380 0.132

***

No. 4
A plane-wave DFT calculation with PBE was carried out for a geometry-optimized ZrGa3H structure.

For the density, the calculation gives 3.22 g cm⁻³. The uncorrected energy is -3.14 eV per atom. The relative energy among the computed polymorphs comes out at 596 kJ/mol of formula units.

abc: 5.378 5.378 5.378
angles: 90.00 90.00 90.00
Element x y z (fractional)
Zr: 0.000 0.000 0.000
Ga: 0.000 0.000 0.500
Ga: 0.000 0.500 0.000
Ga: 0.500 0.000 0.000
H: 0.500 0.500 0.500

***

No. 5
A plane-wave DFT calculation with PBE was carried out for a geometry-optimized Rb2CuWN structure.

For the density, the calculation gives 3.51 g cm⁻³. The uncorrected energy is -3.38 eV per atom. The calculation puts the raw formation energy at 2079 meV per atom.

abc: 6.496 6.496 4.849
angles: 90.00 90.00 90.00
Element x y z (fractional)
Rb: 0.000 0.500 0.000
Rb: 0.500 0.000 0.000
Cu: 0.000 0.000 0.000
W: 0.000 0.000 0.500
N: 0.500 0.500 0.500

***

No. 6
A plane-wave DFT calculation with PBE was carried out for a geometry-optimized TaRh3 structure.

For the density, the calculation gives 7.49 g cm⁻³. The uncorrected energy is -7.03 eV per atom. The formation energy comes out at 1.443 eV per atom.

abc: 4.770 4.770 4.770
angles: 90.00 90.00 90.00
Element x y z (fractional)
Ta: 0.000 0.000 0.000
Rh: 0.000 0.000 0.500
Rh: 0.000 0.500 0.000
Rh: 0.500 0.000 0.000